An optimized crystal structure of MgCdSb3, computed with PBE.

The value obtained for the polymorph energy (0 for the lowest one) is 0.00 eV/f.u. The density of states at the Fermi level is 6.0 states/eV per cell. The calculated density comes out at 5.3 g cm⁻³. The formation energy from raw total energies is 541 meV per atom.

a b c (Å): 5.3986 5.3986 5.3986
angles (deg): 90.00 90.00 90.00
Space group Pm-3m (No. 221)
Asymmetric unit:
1 Mg 0.0000 0.0000 0.0000 x1
2 Cd 0.5000 0.5000 0.5000 x1
3 Sb 0.0000 0.0000 0.5000 x3